Entry 1:
This record from the Alexandria database describes a relaxed HgAs2Pt crystal. The functional is GGA-PBE.

Energy of formation   0.2 eV per formula unit
Spin magnetization   0.00 μB/atom
Density of states at the Fermi level   2.163 states/eV/f.u.

Unit cell a=6.105 b=6.105 c=7.040 alpha=64.30 beta=64.30 gamma=90.00
Element x y z (fractional)
As  0.579  0.125  0.250
As  0.171  0.625  0.250
As  0.375  0.421  0.750
As  0.875  0.829  0.750
Hg  0.000  0.000  0.000
Hg  0.750  0.250  0.500
Pt  0.500  0.500  0.000
Pt  0.250  0.750  0.500

---

Entry 2:
This record from the Alexandria database describes a relaxed HgAsPt2 crystal. The functional is GGA-PBE.

Energy of formation   0.5 eV per formula unit
Spin magnetization   0.00 μB/atom
Density of states at the Fermi level   1.436 states/eV/f.u.

Unit cell a=5.213 b=5.213 c=5.213 alpha=134.72 beta=134.72 gamma=65.97
Element x y z (fractional)
As  0.500  0.500  0.000
Hg  0.750  0.250  0.500
Pt  0.000  0.000  0.000
Pt  0.250  0.750  0.500